Entry 1:
Entry from Alexandria via LeMat-Bulk: a geometry-optimized Co2IrRh structure (PBE).

Summary:
**Formation enthalpy at 0 K**: 265 meV/atom
**Energy above the most stable polymorph in this dataset**: 21.2 kJ/mol of atoms

```
data_Co2IrRh
_chemical_formula_sum 'Co4 Ir2 Rh2'
_symmetry_space_group_name_H-M 'C m m 2'
_symmetry_Int_Tables_number 35
_cell_length_a 2.7057
_cell_length_b 4.5145
_cell_length_c 8.6845
_cell_angle_alpha 90.00
_cell_angle_beta 90.00
_cell_angle_gamma 90.00
loop_
_symmetry_equiv_pos_as_xyz
'x,y,z'
'-x,-y,z'
'-x,y,z'
'x,-y,z'
'x+1/2,y+1/2,z'
'-x+1/2,-y+1/2,z'
'-x+1/2,y+1/2,z'
'x+1/2,-y+1/2,z'
loop_
_atom_site_label
_atom_site_type_symbol
_atom_site_fract_x
_atom_site_fract_y
_atom_site_fract_z
Co1 Co 0.0000 0.0000 0.0000
Co2 Co 0.0000 0.5000 0.2266
Ir1 Ir 0.0000 0.5000 0.7493
Rh1 Rh 0.0000 0.0000 0.4764
```


Entry 2:
Entry from Alexandria via LeMat-Bulk: a geometry-optimized Co2Ir5Rh2 structure (PBE).

Summary:
**Formation enthalpy at 0 K**: 530 meV/atom
**Energy above the most stable polymorph in this dataset**: 32.8 kJ/mol of atoms

```
data_Co2Ir5Rh2
_chemical_formula_sum 'Co4 Ir10 Rh4'
_symmetry_space_group_name_H-M 'C 1 2/m 1'
_symmetry_Int_Tables_number 12
_cell_length_a 12.6114
_cell_length_b 3.6391
_cell_length_c 8.3570
_cell_angle_alpha 90.00
_cell_angle_beta 131.17
_cell_angle_gamma 90.00
loop_
_symmetry_equiv_pos_as_xyz
'x,y,z'
'-x,-y,-z'
'-x,y,-z'
'x,-y,z'
'x+1/2,y+1/2,z'
'-x+1/2,-y+1/2,-z'
'-x+1/2,y+1/2,-z'
'x+1/2,-y+1/2,z'
loop_
_atom_site_label
_atom_site_type_symbol
_atom_site_fract_x
_atom_site_fract_y
_atom_site_fract_z
Co1 Co 0.1040 0.0000 0.3288
Ir1 Ir 0.0000 0.0000 0.5000
Ir2 Ir 0.1203 0.0000 0.0526
Ir3 Ir 0.1676 0.5000 0.5698
Rh1 Rh 0.1157 0.5000 0.8365
```


Entry 3:
Entry from Alexandria via LeMat-Bulk: a geometry-optimized CoIr2Rh2 structure (PBE).

Summary:
**Formation enthalpy at 0 K**: 616 meV/atom
**Energy above the most stable polymorph in this dataset**: 58.3 kJ/mol of atoms

```
data_CoIr2Rh2
_chemical_formula_sum 'Co2 Ir4 Rh4'
_symmetry_space_group_name_H-M 'I 4/m m m'
_symmetry_Int_Tables_number 139
_symmetry_space_group_name_Hall '-I 4 2'
_cell_length_a 3.5144
_cell_length_b 3.5144
_cell_length_c 12.5138
_cell_angle_alpha 90.00
_cell_angle_beta 90.00
_cell_angle_gamma 90.00
loop_
_atom_site_label
_atom_site_type_symbol
_atom_site_fract_x
_atom_site_fract_y
_atom_site_fract_z
Co1 Co 0.0000 0.0000 0.0000
Ir1 Ir 0.0000 0.0000 0.4040
Rh1 Rh 0.0000 0.5000 0.2500
```


Entry 4:
Entry from Alexandria via LeMat-Bulk: a geometry-optimized Co3IrRh4 structure (PBE).

Summary:
**Formation enthalpy at 0 K**: 53 meV/atom

```
data_Co3IrRh4
_chemical_formula_sum 'Co6 Ir2 Rh8'
_symmetry_space_group_name_H-M 'P m m a'
_symmetry_Int_Tables_number 51
_cell_length_a 8.6353
_cell_length_b 5.3314
_cell_length_c 4.5972
_cell_angle_alpha 90.00
_cell_angle_beta 90.00
_cell_angle_gamma 90.00
loop_
_symmetry_equiv_pos_as_xyz
'x,y,z'
'-x,-y,-z'
'-x+1/2,-y,z'
'x+1/2,y,-z'
'x+1/2,-y,-z'
'-x+1/2,y,z'
'-x,y,-z'
'x,-y,z'
loop_
_atom_site_label
_atom_site_type_symbol
_atom_site_fract_x
_atom_site_fract_y
_atom_site_fract_z
Co1 Co 0.0000 0.0000 0.0000
Co2 Co 0.2500 0.0000 0.3294
Co3 Co 0.2500 0.5000 0.3338
Ir1 Ir 0.0000 0.5000 0.0000
Rh1 Rh 0.0000 0.2473 0.5000
Rh2 Rh 0.2500 0.2444 0.8408
```


Entry 5:
Entry from Alexandria via LeMat-Bulk: a geometry-optimized CoIrRh2 structure (PBE).

Summary:
**Formation enthalpy at 0 K**: 254 meV/atom
**Energy above the most stable polymorph in this dataset**: 22.4 kJ/mol of atoms

```
data_CoIrRh2
_chemical_formula_sum 'Co2 Ir2 Rh4'
_symmetry_space_group_name_H-M 'C m m 2'
_symmetry_Int_Tables_number 35
_cell_length_a 2.6980
_cell_length_b 4.6173
_cell_length_c 8.9964
_cell_angle_alpha 90.00
_cell_angle_beta 90.00
_cell_angle_gamma 90.00
loop_
_symmetry_equiv_pos_as_xyz
'x,y,z'
'-x,-y,z'
'-x,y,z'
'x,-y,z'
'x+1/2,y+1/2,z'
'-x+1/2,-y+1/2,z'
'-x+1/2,y+1/2,z'
'x+1/2,-y+1/2,z'
loop_
_atom_site_label
_atom_site_type_symbol
_atom_site_fract_x
_atom_site_fract_y
_atom_site_fract_z
Co1 Co 0.0000 0.0000 0.0000
Ir1 Ir 0.0000 0.5000 0.2403
Rh1 Rh 0.0000 0.0000 0.5006
Rh2 Rh 0.0000 0.5000 0.7610
```


Entry 6:
Entry from Alexandria via LeMat-Bulk: a geometry-optimized Co3IrRh structure (PBE).

Summary:
**Formation enthalpy at 0 K**: 181 meV/atom
**Energy above the most stable polymorph in this dataset**: 0.0 kJ/mol of atoms

```
data_Co3IrRh
_chemical_formula_sum 'Co12 Ir4 Rh4'
_symmetry_space_group_name_H-M 'C m c m'
_symmetry_Int_Tables_number 63
_symmetry_space_group_name_Hall '-C 2c 2'
_cell_length_a 4.2320
_cell_length_b 11.7064
_cell_length_c 5.1691
_cell_angle_alpha 90.00
_cell_angle_beta 90.00
_cell_angle_gamma 90.00
loop_
_atom_site_label
_atom_site_type_symbol
_atom_site_fract_x
_atom_site_fract_y
_atom_site_fract_z
Co1 Co 0.0000 0.1284 0.2500
Co2 Co 0.0000 0.3077 0.5028
Ir1 Ir 0.0000 0.4942 0.7500
Rh1 Rh 0.0000 0.1200 0.7500
```


Entry 7:
Entry from Alexandria via LeMat-Bulk: a geometry-optimized CoIrRh2 structure (PBE).

Summary:
**Formation enthalpy at 0 K**: 326 meV/atom
**Energy above the most stable polymorph in this dataset**: 29.3 kJ/mol of atoms

```
data_CoIrRh2
_chemical_formula_sum 'Co4 Ir4 Rh8'
_symmetry_space_group_name_H-M 'F -4 3 m'
_symmetry_Int_Tables_number 216
_symmetry_space_group_name_Hall 'F -4 2 3'
_cell_length_a 6.0666
_cell_length_b 6.0666
_cell_length_c 6.0666
_cell_angle_alpha 90.00
_cell_angle_beta 90.00
_cell_angle_gamma 90.00
loop_
_atom_site_label
_atom_site_type_symbol
_atom_site_fract_x
_atom_site_fract_y
_atom_site_fract_z
Co1 Co 0.0000 0.0000 0.0000
Ir1 Ir 0.2500 0.2500 0.2500
Rh1 Rh 0.0000 0.0000 0.5000
Rh2 Rh 0.2500 0.2500 0.7500
```


Entry 8:
Entry from Alexandria via LeMat-Bulk: a geometry-optimized Co2Ir5Rh2 structure (PBE).

Summary:
**Formation enthalpy at 0 K**: 190 meV/atom
**Energy above the most stable polymorph in this dataset**: 0.0 kJ/mol of atoms

```
data_Co2Ir5Rh2
_chemical_formula_sum 'Co2 Ir5 Rh2'
_symmetry_space_group_name_H-M 'P -1'
_symmetry_Int_Tables_number 2
_cell_length_a 4.6539
_cell_length_b 4.8287
_cell_length_c 6.3863
_cell_angle_alpha 69.47
_cell_angle_beta 72.36
_cell_angle_gamma 84.07
loop_
_symmetry_equiv_pos_as_xyz
'x,y,z'
'-x,-y,-z'
loop_
_atom_site_label
_atom_site_type_symbol
_atom_site_fract_x
_atom_site_fract_y
_atom_site_fract_z
Co1 Co 0.2270 0.1687 0.3249
Ir1 Ir 0.0000 0.5000 0.0000
Ir2 Ir 0.1621 0.0900 0.7686
Ir3 Ir 0.3172 0.6755 0.5719
Rh1 Rh 0.4092 0.7085 0.1214
```


Entry 9:
Entry from Alexandria via LeMat-Bulk: a geometry-optimized CoIr2Rh2 structure (PBE).

Summary:
**Formation enthalpy at 0 K**: 11 meV/atom
**Energy above the most stable polymorph in this dataset**: 0.0 kJ/mol of atoms

```
data_CoIr2Rh2
_chemical_formula_sum 'Co2 Ir4 Rh4'
_symmetry_space_group_name_H-M 'I m m m'
_symmetry_Int_Tables_number 71
_symmetry_space_group_name_Hall '-I 2 2'
_cell_length_a 2.7049
_cell_length_b 3.7651
_cell_length_c 13.4447
_cell_angle_alpha 90.00
_cell_angle_beta 90.00
_cell_angle_gamma 90.00
loop_
_atom_site_label
_atom_site_type_symbol
_atom_site_fract_x
_atom_site_fract_y
_atom_site_fract_z
Co1 Co 0.0000 0.0000 0.0000
Ir1 Ir 0.0000 0.0000 0.4043
Rh1 Rh 0.0000 0.0000 0.1969
```


Entry 10:
Entry from Alexandria via LeMat-Bulk: a geometry-optimized Co5Ir2Rh2 structure (PBE).

Summary:
**Formation enthalpy at 0 K**: 142 meV/atom

```
data_Co5Ir2Rh2
_chemical_formula_sum 'Co5 Ir2 Rh2'
_symmetry_space_group_name_H-M 'P -1'
_symmetry_Int_Tables_number 2
_cell_length_a 2.6490
_cell_length_b 6.4999
_cell_length_c 6.9945
_cell_angle_alpha 82.00
_cell_angle_beta 89.99
_cell_angle_gamma 78.27
loop_
_symmetry_equiv_pos_as_xyz
'x,y,z'
'-x,-y,-z'
loop_
_atom_site_label
_atom_site_type_symbol
_atom_site_fract_x
_atom_site_fract_y
_atom_site_fract_z
Co1 Co 0.0000 0.0000 0.0000
Co2 Co 0.1587 0.6815 0.2338
Co3 Co 0.3244 0.3507 0.4698
Ir1 Ir 0.4933 0.0123 0.3097
Rh1 Rh 0.1792 0.6414 0.8646
```


Entry 11:
Entry from Alexandria via LeMat-Bulk: a geometry-optimized CoIr2Rh2 structure (PBE).

Summary:
**Formation enthalpy at 0 K**: 984 meV/atom
**Energy above the most stable polymorph in this dataset**: 93.8 kJ/mol of atoms

```
data_CoIr2Rh2
_chemical_formula_sum 'Co2 Ir4 Rh4'
_symmetry_space_group_name_H-M 'I 4/m m m'
_symmetry_Int_Tables_number 139
_symmetry_space_group_name_Hall '-I 4 2'
_cell_length_a 4.7237
_cell_length_b 4.7237
_cell_length_c 7.6226
_cell_angle_alpha 90.00
_cell_angle_beta 90.00
_cell_angle_gamma 90.00
loop_
_atom_site_label
_atom_site_type_symbol
_atom_site_fract_x
_atom_site_fract_y
_atom_site_fract_z
Co1 Co 0.0000 0.0000 0.0000
Ir1 Ir 0.0000 0.5000 0.2500
Rh1 Rh 0.0000 0.0000 0.3461
```


Entry 12:
Entry from Alexandria via LeMat-Bulk: a geometry-optimized Co2IrRh structure (PBE).

Summary:
**Formation enthalpy at 0 K**: 55 meV/atom
**Energy above the most stable polymorph in this dataset**: 1.0 kJ/mol of atoms

```
data_Co2IrRh
_chemical_formula_sum 'Co4 Ir2 Rh2'
_symmetry_space_group_name_H-M 'C 1 m 1'
_symmetry_Int_Tables_number 8
_cell_length_a 8.7167
_cell_length_b 2.6622
_cell_length_c 4.4731
_cell_angle_alpha 90.00
_cell_angle_beta 101.22
_cell_angle_gamma 90.00
loop_
_symmetry_equiv_pos_as_xyz
'x,y,z'
'x,-y,z'
'x+1/2,y+1/2,z'
'x+1/2,-y+1/2,z'
loop_
_atom_site_label
_atom_site_type_symbol
_atom_site_fract_x
_atom_site_fract_y
_atom_site_fract_z
Co1 Co 0.0000 0.0000 0.0000
Co2 Co 0.2431 0.5000 0.2375
Ir1 Ir 0.2505 0.0000 0.7521
Rh1 Rh 0.4964 0.0000 0.4896
```


no.,total magnetization (μB/atom),E (eV per atom)
1,1.08,-7.341
2,0.01,-7.605
3,0.00,-7.290
4,0.88,-7.395
5,0.62,-7.413
6,1.09,-7.325
7,0.77,-7.341
8,0.42,-7.946
9,0.25,-7.895
10,1.10,-7.408
11,0.44,-6.923
12,0.81,-7.551